Record 1
Below is crystalline HfTiNiIr at its relaxed geometry, with properties calculated at the GGA-PBE level.

abc: 6.3173 6.3173 6.3173
angles: 90.00 90.00 90.00
Fractional positions:
Hf (0.0000, 0.0000, 0.0000)
Hf (0.0000, 0.5000, 0.5000)
Hf (0.5000, 0.0000, 0.5000)
Hf (0.5000, 0.5000, 0.0000)
Ti (0.0000, 0.0000, 0.5000)
Ti (0.0000, 0.5000, 0.0000)
Ti (0.5000, 0.0000, 0.0000)
Ti (0.5000, 0.5000, 0.5000)
Ni (0.2500, 0.2500, 0.7500)
Ni (0.2500, 0.7500, 0.2500)
Ni (0.7500, 0.2500, 0.2500)
Ni (0.7500, 0.7500, 0.7500)
Ir (0.2500, 0.2500, 0.2500)
Ir (0.2500, 0.7500, 0.7500)
Ir (0.7500, 0.2500, 0.7500)
Ir (0.7500, 0.7500, 0.2500)

Summary:
- uncorrected energy (eV/atom) = -8.781
- crystal system = cubic

=====

Record 2
Below is crystalline BaNd2Ir at its relaxed geometry, with properties calculated at the GGA-PBE level.

abc: 4.1825 4.1825 33.1807
angles: 90.00 90.00 120.00
Fractional positions:
Ba (0.0000, 0.0000, 0.0000)
Ba (0.3333, 0.6667, 0.6667)
Ba (0.6667, 0.3333, 0.3333)
Nd (0.0000, 0.0000, 0.1217)
Nd (0.0000, 0.0000, 0.8783)
Nd (0.3333, 0.6667, 0.5450)
Nd (0.3333, 0.6667, 0.7883)
Nd (0.6667, 0.3333, 0.2117)
Nd (0.6667, 0.3333, 0.4550)
Ir (0.0000, 0.0000, 0.5000)
Ir (0.3333, 0.6667, 0.1667)
Ir (0.6667, 0.3333, 0.8333)

Summary:
- uncorrected energy (eV/atom) = -5.324
- crystal system = trigonal

=====

Record 3
Below is crystalline LiB2 at its relaxed geometry, with properties calculated at the GGA-PBE level.

abc: 3.0952 5.3551 5.3678
angles: 90.00 90.00 90.00
Fractional positions:
Li (0.0000, 0.2500, 0.0495)
Li (0.0000, 0.7500, 0.9505)
Li (0.5000, 0.2500, 0.4505)
Li (0.5000, 0.7500, 0.5495)
B (0.0000, 0.0499, 0.6660)
B (0.0000, 0.4501, 0.6660)
B (0.0000, 0.5499, 0.3340)
B (0.0000, 0.9501, 0.3340)
B (0.5000, 0.0499, 0.8340)
B (0.5000, 0.4501, 0.8340)
B (0.5000, 0.5499, 0.1660)
B (0.5000, 0.9501, 0.1660)

Summary:
- uncorrected energy (eV/atom) = -5.017
- crystal system = orthorhombic

=====

Record 4
Below is crystalline KBa2Rh at its relaxed geometry, with properties calculated at the GGA-PBE level.

abc: 4.5214 4.5214 24.1761
angles: 90.00 90.00 120.00
Fractional positions:
K (0.3333, 0.6667, 0.2500)
K (0.6667, 0.3333, 0.7500)
Ba (0.3333, 0.6667, 0.0685)
Ba (0.3333, 0.6667, 0.4315)
Ba (0.6667, 0.3333, 0.5685)
Ba (0.6667, 0.3333, 0.9315)
Rh (0.0000, 0.0000, 0.0000)
Rh (0.0000, 0.0000, 0.5000)

Summary:
- uncorrected energy (eV/atom) = -3.152
- crystal system = hexagonal

=====

Record 5
Below is crystalline Na2UPO8 at its relaxed geometry, with properties calculated at the GGA-PBE level.

abc: 5.5471 5.5471 5.5163
angles: 90.00 90.00 120.00
Fractional positions:
Na (0.3333, 0.6667, 0.4435)
Na (0.6667, 0.3333, 0.5565)
U (0.0000, 0.0000, 0.0000)
P (0.0000, 0.0000, 0.5000)
O (0.1418, 0.2836, 0.6909)
O (0.1418, 0.8582, 0.6909)
O (0.2836, 0.1418, 0.3091)
O (0.3333, 0.6667, 0.0359)
O (0.6667, 0.3333, 0.9641)
O (0.7164, 0.8582, 0.6909)
O (0.8582, 0.1418, 0.3091)
O (0.8582, 0.7164, 0.3091)

Summary:
- formation energy (no corrections) (eV per formula unit) = -17.36
- crystal system = trigonal

=====

Record 6
Below is crystalline ThPa2Bi at its relaxed geometry, with properties calculated at the GGA-PBE level.

abc: 7.6510 7.6510 7.6510
angles: 90.00 90.00 90.00
Fractional positions:
Th (0.0000, 0.0000, 0.0000)
Th (0.0000, 0.5000, 0.5000)
Th (0.5000, 0.0000, 0.5000)
Th (0.5000, 0.5000, 0.0000)
Pa (0.2500, 0.2500, 0.2500)
Pa (0.2500, 0.2500, 0.7500)
Pa (0.2500, 0.7500, 0.2500)
Pa (0.2500, 0.7500, 0.7500)
Pa (0.7500, 0.2500, 0.2500)
Pa (0.7500, 0.2500, 0.7500)
Pa (0.7500, 0.7500, 0.2500)
Pa (0.7500, 0.7500, 0.7500)
Bi (0.0000, 0.0000, 0.5000)
Bi (0.0000, 0.5000, 0.0000)
Bi (0.5000, 0.0000, 0.0000)
Bi (0.5000, 0.5000, 0.5000)

Summary:
- uncorrected energy (eV/atom) = -7.368
- crystal system = cubic

=====

Record 7
Below is crystalline NdEu2Cd at its relaxed geometry, with properties calculated at the GGA-PBE level.

abc: 8.0618 8.0618 8.0618
angles: 90.00 90.00 90.00
Fractional positions:
Nd (0.0000, 0.0000, 0.0000)
Nd (0.0000, 0.5000, 0.5000)
Nd (0.5000, 0.0000, 0.5000)
Nd (0.5000, 0.5000, 0.0000)
Eu (0.2500, 0.2500, 0.2500)
Eu (0.2500, 0.2500, 0.7500)
Eu (0.2500, 0.7500, 0.2500)
Eu (0.2500, 0.7500, 0.7500)
Eu (0.7500, 0.2500, 0.2500)
Eu (0.7500, 0.2500, 0.7500)
Eu (0.7500, 0.7500, 0.2500)
Eu (0.7500, 0.7500, 0.7500)
Cd (0.0000, 0.0000, 0.5000)
Cd (0.0000, 0.5000, 0.0000)
Cd (0.5000, 0.0000, 0.0000)
Cd (0.5000, 0.5000, 0.5000)

Summary:
- uncorrected energy (eV/atom) = -6.547
- crystal system = cubic

=====

Record 8
Below is crystalline Ce2PuHg4 at its relaxed geometry, with properties calculated at the GGA-PBE level.

abc: 5.5520 5.5520 13.3242
angles: 90.00 90.00 90.00
Fractional positions:
Ce (0.0000, 0.0000, 0.2407)
Ce (0.0000, 0.0000, 0.7593)
Ce (0.5000, 0.5000, 0.2593)
Ce (0.5000, 0.5000, 0.7407)
Pu (0.0000, 0.0000, 0.5000)
Pu (0.5000, 0.5000, 0.0000)
Hg (0.0000, 0.5000, 0.1157)
Hg (0.0000, 0.5000, 0.3843)
Hg (0.0000, 0.5000, 0.6157)
Hg (0.0000, 0.5000, 0.8843)
Hg (0.5000, 0.0000, 0.1157)
Hg (0.5000, 0.0000, 0.3843)
Hg (0.5000, 0.0000, 0.6157)
Hg (0.5000, 0.0000, 0.8843)

Summary:
- uncorrected energy (eV/atom) = -4.034
- crystal system = tetragonal

=====

Record 9
Below is crystalline Ac2HoSn3Au4 at its relaxed geometry, with properties calculated at the GGA-PBE level.

abc: 4.7270 4.7270 11.8548
angles: 90.00 90.00 90.00
Fractional positions:
Ac (0.0000, 0.5000, 0.2214)
Ac (0.5000, 0.0000, 0.7786)
Ho (0.0000, 0.0000, 0.5000)
Sn (0.0000, 0.5000, 0.8714)
Sn (0.5000, 0.0000, 0.1286)
Sn (0.5000, 0.5000, 0.5000)
Au (0.0000, 0.0000, 0.0000)
Au (0.0000, 0.5000, 0.6428)
Au (0.5000, 0.0000, 0.3572)
Au (0.5000, 0.5000, 0.0000)

Summary:
- uncorrected energy (eV/atom) = -4.487
- crystal system = tetragonal

=====

Record 10
Below is crystalline YFeCo2B at its relaxed geometry, with properties calculated at the GGA-PBE level.

abc: 3.9733 3.9733 3.9941
angles: 90.00 90.00 90.00
Fractional positions:
Y (0.0000, 0.0000, 0.0000)
Fe (0.5000, 0.5000, 0.0000)
Co (0.0000, 0.5000, 0.5000)
Co (0.5000, 0.0000, 0.5000)
B (0.5000, 0.5000, 0.5000)

Summary:
- uncorrected energy (eV/atom) = -7.369
- crystal system = tetragonal

=====

Record 11
Below is crystalline MgBe3Ag at its relaxed geometry, with properties calculated at the GGA-PBE level.

abc: 4.4406 4.4406 4.4406
angles: 90.00 90.00 90.00
Fractional positions:
Mg (0.0000, 0.0000, 0.0000)
Be (0.0000, 0.0000, 0.5000)
Be (0.0000, 0.5000, 0.0000)
Be (0.5000, 0.0000, 0.0000)
Ag (0.5000, 0.5000, 0.5000)

Summary:
- uncorrected energy (eV/atom) = -1.662
- crystal system = cubic

=====

Record 12
Below is crystalline TaMnPt2 at its relaxed geometry, with properties calculated at the GGA-PBE level.

abc: 9.3839 2.8381 4.8288
angles: 90.00 99.59 90.00
Fractional positions:
Ta (0.0000, 0.0000, 0.0000)
Ta (0.5000, 0.5000, 0.0000)
Mn (0.2434, 0.0000, 0.7002)
Mn (0.7434, 0.5000, 0.7002)
Pt (0.2478, 0.5000, 0.2024)
Pt (0.4988, 0.0000, 0.5038)
Pt (0.7478, 0.0000, 0.2024)
Pt (0.9988, 0.5000, 0.5038)

Summary:
- uncorrected energy (eV/atom) = -8.714
- crystal system = monoclinic